# NaLi14Zn PBE relaxed
# - E_tot: -29.32 eV per formula unit
# - M_tot: 0.0 μB per formula unit
data_NaLi14Zn
_chemical_formula_sum 'Na1 Li14 Zn1'
_cell_length_a 6.077
_cell_length_b 6.077
_cell_length_c 9.856
_cell_angle_alpha 90.00
_cell_angle_beta 90.00
_cell_angle_gamma 117.97
_symmetry_space_group_name_H-M 'P 1'
_symmetry_Int_Tables_number 1
_symmetry_space_group_name_Hall 'P 1'
loop_
_atom_site_label
_atom_site_type_symbol
_atom_site_fract_x
_atom_site_fract_y
_atom_site_fract_z
Zn1 Zn 0.049 0.951 0.500
Li1 Li 0.695 0.305 0.000
Li2 Li 0.707 0.810 0.000
Li3 Li 0.890 0.639 0.254
Li4 Li 0.878 0.122 0.738
Li5 Li 0.878 0.122 0.262
Li6 Li 0.190 0.293 0.000
Li7 Li 0.361 0.110 0.746
Li8 Li 0.199 0.801 0.000
Li9 Li 0.375 0.625 0.237
Li10 Li 0.890 0.639 0.746
Li11 Li 0.375 0.625 0.763
Li12 Li 0.361 0.110 0.254
Li13 Li 0.059 0.457 0.500
Li14 Li 0.543 0.941 0.500
Na1 Na 0.552 0.448 0.500



# Cs2Li2YCl6 PBE relaxed
# - Formation energy without anion corrections: -1.80 eV/atom
# - M_tot: 0.6 μB per formula unit
data_Cs2Li2YCl6
_chemical_formula_sum 'Cs2 Li2 Y1 Cl6'
_cell_length_a 7.272
_cell_length_b 7.272
_cell_length_c 7.915
_cell_angle_alpha 90.00
_cell_angle_beta 90.00
_cell_angle_gamma 120.00
_symmetry_space_group_name_H-M 'P 1'
_symmetry_Int_Tables_number 1
_symmetry_space_group_name_Hall 'P 1'
loop_
_atom_site_label
_atom_site_type_symbol
_atom_site_fract_x
_atom_site_fract_y
_atom_site_fract_z
Cl1 Cl 0.840 0.675 0.228
Cl2 Cl 0.160 0.325 0.772
Cl3 Cl 0.835 0.160 0.228
Cl4 Cl 0.675 0.835 0.772
Cl5 Cl 0.165 0.840 0.772
Cl6 Cl 0.325 0.165 0.228
Li1 Li 0.333 0.667 0.872
Li2 Li 0.667 0.333 0.128
Y1 Y 0.000 0.000 0.000
Cs1 Cs 0.333 0.667 0.372
Cs2 Cs 0.667 0.333 0.628



# SiTe2AuBr PBE relaxed
# - Formation energy without anion corrections: 1.17 eV/atom
# - M_tot: 0.0 μB per formula unit
data_SiTe2AuBr
_chemical_formula_sum 'Si1 Te2 Au1 Br1'
_cell_length_a 5.629
_cell_length_b 4.948
_cell_length_c 5.629
_cell_angle_alpha 90.00
_cell_angle_beta 90.00
_cell_angle_gamma 90.00
_symmetry_space_group_name_H-M 'P 1'
_symmetry_Int_Tables_number 1
_symmetry_space_group_name_Hall 'P 1'
loop_
_atom_site_label
_atom_site_type_symbol
_atom_site_fract_x
_atom_site_fract_y
_atom_site_fract_z
Te1 Te 0.500 0.000 0.000
Te2 Te 0.000 0.000 0.500
Si1 Si 0.000 0.500 0.000
Br1 Br 0.000 0.000 0.000
Au1 Au 0.500 0.500 0.500



Look up the M_tot of the first one.
0.0 μB per formula unit



Please write out number 2 again, unchanged.
# Cs2Li2YCl6 PBE relaxed
# - Formation energy without anion corrections: -1.80 eV/atom
# - M_tot: 0.6 μB per formula unit
data_Cs2Li2YCl6
_chemical_formula_sum 'Cs2 Li2 Y1 Cl6'
_cell_length_a 7.272
_cell_length_b 7.272
_cell_length_c 7.915
_cell_angle_alpha 90.00
_cell_angle_beta 90.00
_cell_angle_gamma 120.00
_symmetry_space_group_name_H-M 'P 1'
_symmetry_Int_Tables_number 1
_symmetry_space_group_name_Hall 'P 1'
loop_
_atom_site_label
_atom_site_type_symbol
_atom_site_fract_x
_atom_site_fract_y
_atom_site_fract_z
Cl1 Cl 0.840 0.675 0.228
Cl2 Cl 0.160 0.325 0.772
Cl3 Cl 0.835 0.160 0.228
Cl4 Cl 0.675 0.835 0.772
Cl5 Cl 0.165 0.840 0.772
Cl6 Cl 0.325 0.165 0.228
Li1 Li 0.333 0.667 0.872
Li2 Li 0.667 0.333 0.128
Y1 Y 0.000 0.000 0.000
Cs1 Cs 0.333 0.667 0.372
Cs2 Cs 0.667 0.333 0.628